# Rb3BiPb GGA-PBE optimized geometry
# * ΔE to the lowest computed polymorph: 34.7 meV/atom
# * magnetization: 0.000 μB/f.u.
# * E_form: -0.14 eV/atom
# * calculated volume: 1111.4 Å³/cell
# * total energy: -2.2350 eV per atom
data_Rb3BiPb
_cell_length_a 13.378
_cell_length_b 11.901
_cell_length_c 9.279
_cell_angle_alpha 90.00
_cell_angle_beta 131.21
_cell_angle_gamma 90.00
_space_group_name_H-M_alt 'C 1 2/m 1'
_space_group_IT_number 12
loop_
_space_group_symop_operation_xyz
'x,y,z'
'-x,-y,-z'
'-x,y,-z'
'x,-y,z'
'x+1/2,y+1/2,z'
'-x+1/2,-y+1/2,-z'
'-x+1/2,y+1/2,-z'
'x+1/2,-y+1/2,z'
loop_
_atom_site_label
_atom_site_type_symbol
_atom_site_fract_x
_atom_site_fract_y
_atom_site_fract_z
_atom_site_occupancy
Rb1 Rb 0.059 0.000 0.340 1
Rb2 Rb 0.212 0.315 0.751 1
Bi1 Bi 0.069 0.500 0.297 1
Pb1 Pb 0.198 0.500 0.116 1